1.
DFT (PBE) results for an optimized crystal structure of MgSbC.

Total energy (eV per atom): -4.65
Total magnetization (μB per formula unit): 0.065
Mass density (Mg/m³): 3.4
Volume (Å³/cell): 153.9
Offset from the most stable computed form (eV/atom): 0.151
Uncorrected formation energy (meV/atom): 332.8

Unit cell a=5.195 b=4.483 c=6.963 alpha=90.00 beta=108.34 gamma=90.00
Space group Pm (No. 6)
Unique sites:
Mg 0.000 0.000 0.000 (multiplicity 1)
Mg 0.397 0.000 0.577 (multiplicity 1)
Sb 0.257 0.500 0.272 (multiplicity 1)
Sb 0.634 0.500 0.044 (multiplicity 1)
C 0.068 0.000 0.687 (multiplicity 1)
C 0.819 0.000 0.663 (multiplicity 1)

=====

2.
DFT (PBE) results for an optimized crystal structure of MgSbC.

Total energy (eV per atom): -4.75
Total magnetization (μB per formula unit): 0.000
Mass density (Mg/m³): 3.6
Volume (Å³/cell): 143.9
Offset from the most stable computed form (eV/atom): 0.052
Uncorrected formation energy (meV/atom): 234.0

Unit cell a=3.931 b=4.796 c=8.202 alpha=106.99 beta=102.73 gamma=90.01
Space group P-1 (No. 2)
Unique sites:
Mg 0.178 0.108 0.213 (multiplicity 2)
Sb 0.227 0.732 0.464 (multiplicity 2)
C 0.354 0.973 0.946 (multiplicity 2)

=====

3.
DFT (PBE) results for an optimized crystal structure of MgSbC.

Total energy (eV per atom): -4.80
Total magnetization (μB per formula unit): 0.000
Mass density (Mg/m³): 3.3
Volume (Å³/cell): 161.2
Offset from the most stable computed form (eV/atom): 0.000
Uncorrected formation energy (meV/atom): 181.7

Unit cell a=4.040 b=5.052 c=7.982 alpha=90.00 beta=98.45 gamma=90.00
Space group P2/m (No. 10)
Unique sites:
Mg 0.137 0.000 0.202 (multiplicity 2)
Sb 0.214 0.500 0.375 (multiplicity 2)
C 0.368 0.000 0.947 (multiplicity 2)

=====

4.
DFT (PBE) results for an optimized crystal structure of MgSbC.

Total energy (eV per atom): -4.75
Total magnetization (μB per formula unit): 0.000
Mass density (Mg/m³): 4.3
Volume (Å³/cell): 243.7
Offset from the most stable computed form (eV/atom): 0.049
Uncorrected formation energy (meV/atom): 230.5

Unit cell a=5.873 b=3.333 c=12.587 alpha=90.00 beta=98.47 gamma=90.00
Space group C2/m (No. 12)
Unique sites:
Mg 0.215 0.000 0.144 (multiplicity 4)
Sb 0.058 0.000 0.658 (multiplicity 4)
C 0.017 0.500 0.051 (multiplicity 4)

=====

5.
DFT (PBE) results for an optimized crystal structure of MgSbC.

Total energy (eV per atom): -4.71
Total magnetization (μB per formula unit): 0.000
Mass density (Mg/m³): 3.8
Volume (Å³/cell): 136.8
Offset from the most stable computed form (eV/atom): 0.093
Uncorrected formation energy (meV/atom): 274.9

Unit cell a=3.429 b=6.244 c=6.603 alpha=102.00 beta=97.85 gamma=91.04
Space group P-1 (No. 2)
Unique sites:
Mg 0.015 0.408 0.214 (multiplicity 2)
Sb 0.034 0.903 0.185 (multiplicity 2)
C 0.411 0.526 0.578 (multiplicity 2)

=====

6.
DFT (PBE) results for an optimized crystal structure of MgSc2SbC.

Total energy (eV per atom): -6.13
Total magnetization (μB per formula unit): 0.000
Mass density (Mg/m³): 4.5
Volume (Å³/cell): 91.1
Uncorrected formation energy (meV/atom): -605.7

Unit cell a=4.573 b=4.573 c=4.356 alpha=90.00 beta=90.00 gamma=90.00
Space group P4/mmm (No. 123)
Unique sites:
Mg 0.000 0.000 0.000 (multiplicity 1)
Sc 0.000 0.500 0.500 (multiplicity 2)
Sb 0.500 0.500 0.000 (multiplicity 1)
C 0.000 0.000 0.500 (multiplicity 1)

=====

7.
DFT (PBE) results for an optimized crystal structure of Mg2ScSbC.

Total energy (eV per atom): -4.97
Total magnetization (μB per formula unit): 0.000
Mass density (Mg/m³): 4.2
Volume (Å³/cell): 89.9
Uncorrected formation energy (meV/atom): -391.8

Unit cell a=4.420 b=4.420 c=4.605 alpha=90.00 beta=90.00 gamma=90.00
Space group P4/mmm (No. 123)
Unique sites:
Mg 0.000 0.500 0.000 (multiplicity 2)
Sc 0.000 0.000 0.500 (multiplicity 1)
Sb 0.500 0.500 0.500 (multiplicity 1)
C 0.000 0.000 0.000 (multiplicity 1)

=====

8.
DFT (PBE) results for an optimized crystal structure of MgSb2CSe.

Total energy (eV per atom): -3.94
Total magnetization (μB per formula unit): 0.000
Mass density (Mg/m³): 5.7
Volume (Å³/cell): 104.5
Uncorrected formation energy (meV/atom): 565.4

Unit cell a=4.932 b=4.932 c=4.297 alpha=90.00 beta=90.00 gamma=90.00
Space group P4/mmm (No. 123)
Unique sites:
Mg 0.000 0.000 0.000 (multiplicity 1)
Sb 0.000 0.500 0.500 (multiplicity 2)
C 0.000 0.000 0.500 (multiplicity 1)
Se 0.500 0.500 0.000 (multiplicity 1)

=====

9.
DFT (PBE) results for an optimized crystal structure of Tb2MgSbC.

Total energy (eV per atom): -5.39
Total magnetization (μB per formula unit): 0.000
Mass density (Mg/m³): 7.3
Volume (Å³/cell): 108.5
Uncorrected formation energy (meV/atom): -546.6

Unit cell a=4.990 b=4.990 c=4.356 alpha=90.00 beta=90.00 gamma=90.00
Space group P4/mmm (No. 123)
Unique sites:
Tb 0.000 0.500 0.000 (multiplicity 2)
Mg 0.000 0.000 0.500 (multiplicity 1)
Sb 0.500 0.500 0.500 (multiplicity 1)
C 0.000 0.000 0.000 (multiplicity 1)

=====

10.
DFT (PBE) results for an optimized crystal structure of MgTlSbC2.

Total energy (eV per atom): -2.95
Total magnetization (μB per formula unit): 0.678
Mass density (Mg/m³): 5.7
Volume (Å³/cell): 109.5
Uncorrected formation energy (meV/atom): 2351.3

Unit cell a=4.429 b=4.429 c=5.582 alpha=90.00 beta=90.00 gamma=90.00
Space group P4/mmm (No. 123)
Unique sites:
Mg 0.000 0.000 0.000 (multiplicity 1)
Tl 0.000 0.000 0.500 (multiplicity 1)
Sb 0.500 0.500 0.000 (multiplicity 1)
C 0.000 0.500 0.500 (multiplicity 2)

=====

11.
DFT (PBE) results for an optimized crystal structure of MgSbW2C.

Total energy (eV per atom): -4.89
Total magnetization (μB per formula unit): 0.002
Mass density (Mg/m³): 7.0
Volume (Å³/cell): 124.3
Uncorrected formation energy (meV/atom): 3278.4

Unit cell a=4.950 b=4.950 c=5.072 alpha=90.00 beta=90.00 gamma=90.00
Space group P4/mmm (No. 123)
Unique sites:
Mg 0.000 0.000 0.000 (multiplicity 1)
Sb 0.000 0.000 0.500 (multiplicity 1)
W 0.000 0.500 0.500 (multiplicity 2)
C 0.500 0.500 0.000 (multiplicity 1)

=====

12.
DFT (PBE) results for an optimized crystal structure of MgSc3C.

Total energy (eV per atom): -6.26
Total magnetization (μB per formula unit): 0.921
Mass density (Mg/m³): 2.8
Volume (Å³/cell): 100.6
Offset from the most stable computed form (eV/atom): 0.025

Unit cell a=3.312 b=4.592 c=6.617 alpha=90.00 beta=90.00 gamma=90.00
Space group Pmmm (No. 47)
Unique sites:
Mg 0.000 0.000 0.000 (multiplicity 1)
Sc 0.000 0.000 0.500 (multiplicity 1)
Sc 0.500 0.500 0.265 (multiplicity 2)
C 0.000 0.500 0.500 (multiplicity 1)

=====

- Which of these has the highest mass density?
  Tb2MgSbC